Computed, not measured: a geometry-optimized DyTmAlGa structure at the GGA-PBE level of DFT.

Values from the calculation:
Density of states at the Fermi level (states/eV/f.u.): 1.3
Crystal system: cubic
Energy above the most stable polymorph in this dataset (kJ/mol of atoms): 3.0
Total energy (eV/f.u.): -17.74

```
4
Lattice="-2.719 -4.144 -0.949 -1.692 -2.837 3.816 -4.928 -0.089 1.086" Properties=species:S:1:pos:R:3 pbc="T T T"
Ga -2.335 -1.767 0.988
Al -7.004 -5.302 2.964
Tm -4.669 -3.535 1.976
Dy 0.000 0.000 0.000
```


Computed, not measured: a geometry-optimized Dy2YAl2Ga2 structure at the GGA-PBE level of DFT.

Values from the calculation:
Density of states at the Fermi level (states/eV/f.u.): 5.4
Crystal system: trigonal
Total energy (eV/f.u.): -31.98

```
7
Lattice="-2.390 -3.039 -1.788 1.702 -3.804 -0.882 -3.034 -5.785 8.813" Properties=species:S:1:pos:R:3 pbc="T T T"
Ga -0.835 -3.037 1.204
Dy -1.979 -4.467 5.163
Al -2.764 -7.442 6.195
Dy -1.743 -8.162 0.981
Al -0.958 -5.186 -0.052
Ga -2.887 -9.591 4.939
Y 0.000 0.000 0.000
```


Computed, not measured: a geometry-optimized DyYAlGa structure at the GGA-PBE level of DFT.

Values from the calculation:
Density of states at the Fermi level (states/eV/f.u.): 3.4
Crystal system: orthorhombic
Energy above the most stable polymorph in this dataset (kJ/mol of atoms): 0.0
Total energy (eV/f.u.): -19.95

```
4
Lattice="4.405 0.000 0.000 0.000 4.072 0.000 -2.202 0.000 5.512" Properties=species:S:1:pos:R:3 pbc="T T T"
Y 2.202 2.036 3.984
Al 2.202 2.036 0.804
Dy 0.000 0.000 1.567
Ga 0.000 0.000 4.670
```


Computed, not measured: a geometry-optimized DyYAlGa structure at the GGA-PBE level of DFT.

Values from the calculation:
Density of states at the Fermi level (states/eV/f.u.): 1.5
Crystal system: cubic
Energy above the most stable polymorph in this dataset (kJ/mol of atoms): 3.7
Total energy (eV/f.u.): -19.80

```
4
Lattice="5.082 0.000 0.000 2.541 4.401 0.000 2.541 1.467 4.149" Properties=species:S:1:pos:R:3 pbc="T T T"
Ga 0.000 0.000 0.000
Dy 2.541 1.467 1.037
Y 7.623 4.401 3.112
Al 5.082 2.934 2.075
```


Q: Number 4 is which compound?
A: DyYAlGa